Record 1
## PaCuOsO6 (PBE-GGA)

Data for an optimized crystal structure of PaCuOsO6.

total moment: 3.2 Bohr magnetons per cell

Cell lengths 5.4321, 5.4321, 8.8719 Å; angles 90.00, 90.00, 120.00 degrees
Space group P-31c (No. 163)
Asymmetric unit:
Pa 0.3333 0.6667 0.2500 x2
Cu 0.0000 0.0000 0.0000 x2
Os 0.3333 0.6667 0.7500 x2
O 0.0296 0.3616 0.6293 x12



Record 2
## CuOsPbO5 (PBE-GGA)

Data for an optimized crystal structure of CuOsPbO5.

total moment: 0.0 Bohr magnetons per cell

Cell lengths 7.0176, 9.4516, 7.4783 Å; angles 90.00, 116.48, 90.00 degrees
Space group C2/c (No. 15)
Asymmetric unit:
Cu 0.0000 0.1887 0.2500 x4
Os 0.0000 0.5000 0.0000 x4
Pb 0.0000 0.1803 0.7500 x4
O 0.0000 0.4464 0.7500 x4
O 0.0831 0.3033 0.0818 x8
O 0.2105 0.0443 0.3965 x8



Record 3
## CuOsPb2O8 (PBE-GGA)

Data for an optimized crystal structure of CuOsPb2O8.

total moment: 0.0 Bohr magnetons per cell

Cell lengths 4.8561, 4.9906, 6.8420 Å; angles 86.71, 85.39, 85.34 degrees
Space group P-1 (No. 2)
Asymmetric unit:
Cu 0.0000 0.0000 0.0000 x1
Os 0.0000 0.0000 0.5000 x1
Pb 0.4538 0.4603 0.7595 x2
O 0.1566 0.1095 0.7371 x2
O 0.2468 0.6785 0.5000 x2
O 0.2507 0.1705 0.3356 x2
O 0.2678 0.7040 0.0087 x2



Record 4
## CuOsPb2O6 (PBE-GGA)

Data for an optimized crystal structure of CuOsPb2O6.

total moment: 5.2 Bohr magnetons per cell

Cell lengths 5.8087, 5.8087, 28.6728 Å; angles 90.00, 90.00, 120.00 degrees
Space group R-3m (No. 166, hexagonal axes)
Asymmetric unit:
Cu 0.0000 0.0000 0.1282 x6
Os 0.0000 0.0000 0.0000 x3
Os 0.0000 0.0000 0.5000 x3
Pb 0.0000 0.0000 0.2369 x6
Pb 0.0000 0.0000 0.3649 x6
O 0.0050 0.5025 0.6309 x18
O 0.0336 0.5168 0.2068 x18



Record 5
## CuOsPbO6 (PBE-GGA)

Data for an optimized crystal structure of CuOsPbO6.

total moment: 0.0 Bohr magnetons per cell

Cell lengths 6.7685, 7.1930, 11.6209 Å; angles 90.00, 90.00, 90.00 degrees
Space group Imma (No. 74)
Asymmetric unit:
Cu 0.2500 0.2500 0.2500 x4
Os 0.0000 0.0000 0.0000 x4
Pb 0.0000 0.2500 0.4880 x4
O 0.0000 0.2500 0.3012 x4
O 0.0000 0.2500 0.9356 x4
O 0.1998 0.0705 0.1013 x16



Record 6
## CuOs2PbO8 (PBE-GGA)

Data for an optimized crystal structure of CuOs2PbO8.

total moment: 2.9 Bohr magnetons per cell

Cell lengths 5.8444, 5.8444, 6.8104 Å; angles 90.00, 90.00, 120.00 degrees
Space group P-3m1 (No. 164)
Asymmetric unit:
Cu 0.0000 0.0000 0.0000 x1
Os 0.3333 0.6667 0.2602 x2
Pb 0.0000 0.0000 0.5000 x1
O 0.1600 0.3200 0.1996 x6
O 0.3333 0.6667 0.5223 x2



Record 7
## CuOsPd2O8 (PBE-GGA)

Data for an optimized crystal structure of CuOsPd2O8.

total moment: 0.0 Bohr magnetons per cell

Cell lengths 6.2803, 6.2803, 6.9858 Å; angles 90.00, 90.00, 90.00 degrees
Space group I-4m2 (No. 119)
Asymmetric unit:
Cu 0.0000 0.0000 0.0000 x2
Os 0.0000 0.5000 0.7500 x2
Pd 0.0000 0.0000 0.5000 x2
Pd 0.0000 0.5000 0.2500 x2
O 0.0000 0.1954 0.7179 x8
O 0.0000 0.3244 0.0126 x8



Record 8
## PmCu2OsO8 (PBE-GGA)

Data for an optimized crystal structure of PmCu2OsO8.

total moment: 1.9 Bohr magnetons per cell

Cell lengths 6.7965, 6.7965, 6.5112 Å; angles 90.00, 90.00, 90.00 degrees
Space group I-4m2 (No. 119)
Asymmetric unit:
Pm 0.0000 0.0000 0.0000 x2
Cu 0.0000 0.0000 0.5000 x2
Cu 0.0000 0.5000 0.7500 x2
Os 0.0000 0.5000 0.2500 x2
O 0.0000 0.2169 0.3062 x8
O 0.0000 0.3410 0.9817 x8



| no. | uncorrected formation energy (meV per atom) | E_tot (eV/atom) |
| --- | --- | --- |
| 1 | -1752.7 | -7.816 |
| 2 | -950.1 | -6.428 |
| 3 | -796.0 | -5.997 |
| 4 | -915.5 | -6.165 |
| 5 | -728.2 | -6.149 |
| 6 | -800.5 | -6.628 |
| 7 | -227.0 | -5.675 |
| 8 | -990.6 | -6.311 |